{
  "formula": "Hf2TiNbN",
  "functional": "PBE",
  "state": "relaxed",
  "cell": [[-4.2232, -1.2138, 0.4654], [1.2743, -3.5530, 2.2973], [-0.2530, 2.2948, 3.6896]],
  "species": ["Nb", "N", "Hf", "Hf", "Ti"],
  "frac_coords": [[0.0000, 0.0000, 0.5000], [0.0000, 0.0000, 0.0000], [0.0000, 0.5000, 0.0000], [0.5000, 0.0000, 0.0000], [0.5000, 0.5000, 0.5000]],
  "raw_formation_energy_ev_per_fu": -3.13
}